GGA-PBE ZnAsPbF, relaxed; crystal system = trigonal; space group = No. 166
1.0
2.002 1.156 11.254
-2.002 1.156 11.254
0.000 -2.311 11.254
As F Pb Zn
2 2 2 2
Cartesian
0.000 0.000 2.679
0.000 0.000 31.084
0.000 0.000 10.648
0.000 0.000 23.115
0.000 0.000 6.913
0.000 0.000 26.850
0.000 0.000 12.612
0.000 0.000 21.151

GGA-PBE ZnAsPbF, relaxed; crystal system = orthorhombic; space group = No. 55
1.0
9.470 0.000 0.000
0.000 18.259 0.000
0.000 0.000 4.078
As F Pb Zn
8 8 8 8
Cartesian
6.620 0.178 0.000
2.142 3.904 0.000
6.876 5.225 0.000
1.885 8.952 0.000
7.584 9.308 0.000
2.593 13.034 0.000
7.328 14.355 0.000
2.849 18.082 0.000
0.221 1.517 2.039
4.648 2.366 2.039
9.383 6.763 2.039
4.955 7.613 2.039
4.514 10.647 2.039
0.087 11.496 2.039
4.822 15.893 2.039
9.249 16.742 2.039
7.144 1.907 2.039
0.201 4.149 2.039
4.936 4.981 2.039
2.409 7.223 2.039
7.061 11.036 2.039
4.534 13.279 2.039
9.269 14.111 2.039
2.326 16.353 2.039
1.117 1.516 0.000
3.834 2.049 0.000
8.569 7.081 0.000
5.852 7.614 0.000
3.618 10.645 0.000
0.901 11.179 0.000
5.636 16.210 0.000
8.353 16.744 0.000

GGA-PBE ZnAsPbF, relaxed; crystal system = orthorhombic; space group = No. 19
1.0
-6.282 0.773 -1.763
-0.267 -6.861 -2.057
-2.108 -1.917 6.668
As F Pb Zn
4 4 4 4
Cartesian
-1.320 -6.438 -0.995
-4.617 -0.813 0.977
-7.097 -4.657 1.633
-4.280 -4.101 4.081
-6.152 -2.952 -1.376
-3.317 -3.864 0.366
-2.076 -1.353 4.315
-5.770 -7.840 2.390
-4.891 -5.009 -2.358
-2.313 -2.085 1.984
-3.182 -5.772 1.905
-6.928 -3.142 4.164
-2.036 -4.165 -1.254
-5.855 -2.845 0.687
-6.014 -6.596 0.732
-3.409 -2.402 5.530

Number 1: energy above the lowest structure with this stoichiometry 219 meV/atom. Number 2: energy above the lowest structure with this stoichiometry 211 meV/atom. Number 3: energy above the lowest structure with this stoichiometry 106 meV/atom.